Material: UPaCo2O8
Method: DFT, PBE with a Hubbard U
State: optimized geometry

The space group is I-4m2 (No. 119) and the conventional cell measures 6.8489, 6.8489 and 6.8385 Å, with angles of 90.00, 90.00 and 90.00 degrees. Symmetry generates all atoms from U at (0.0000, 0.0000, 0.0000), Pa at (0.0000, 0.5000, 0.7500), Co at (0.0000, 0.0000, 0.5000), Co at (0.0000, 0.5000, 0.2500), O at (0.0000, 0.1889, 0.6929) and O at (0.0000, 0.2990, 0.0489).

For the calculated total energy, the calculation gives -8.2896 eV per atom. As for the crystal system: tetragonal.